1.
{"formula": "ThBePt6", "functional": "PBE-GGA", "state": "relaxed", "n_ef_per_ev_fu": 6.028, "vol_a3_per_cell": 133.8, "spacegroup": "P4/mmm, No. 123", "e_form_ev_per_atom": -0.658, "cell": [[-0.1868, -2.8618, -3.0043], [3.6232, 1.3529, -1.5140], [3.7744, -5.0199, 4.5471]], "species": ["Th", "Be", "Pt", "Pt", "Pt", "Pt", "Pt", "Pt"], "fractional_positions": [[0.0000, 0.0000, 0.0000], [0.0000, 0.0000, 0.5000], [0.5000, 0.5000, 0.0000], [0.5000, 0.5000, 0.5000], [0.5000, 0.0000, 0.2790], [0.5000, 0.0000, 0.7210], [0.0000, 0.5000, 0.2790], [0.0000, 0.5000, 0.7210]]}

=====

2.
{"formula": "SrAgPb2", "functional": "PBE-GGA", "state": "relaxed", "n_ef_per_ev_fu": 2.726, "vol_a3_per_cell": 126.0, "spacegroup": "R3m, No. 160", "e_form_ev_per_atom": -0.193, "cell": [[0.9163, -2.4965, -5.9153], [-2.4299, -5.0729, -3.2287], [-3.7070, -0.6882, -5.2771]], "species": ["Ag", "Pb", "Pb", "Sr"], "fractional_positions": [[0.6868, 0.6868, 0.6868], [0.0476, 0.0476, 0.0476], [0.2750, 0.2750, 0.2750], [0.4907, 0.4907, 0.4907]]}

=====

3.
{"formula": "Hf2GaN", "functional": "PBE-GGA", "state": "relaxed", "n_ef_per_ev_fu": 1.267, "vol_a3_per_cell": 122.8, "spacegroup": "Cmcm, No. 63", "formation_energy_uncorrected_ev_per_atom": -0.9267, "cell": [[-2.4805, -2.6614, -0.3290], [0.8399, -1.1732, 3.1583], [-7.1288, 6.3539, 2.3474]], "species": ["Hf", "Hf", "Hf", "Hf", "Ga", "Ga", "N", "N"], "fractional_positions": [[0.7500, 0.6939, 0.3877], [0.2500, 0.3061, 0.6123], [0.7500, 0.9124, 0.8248], [0.2500, 0.0876, 0.1752], [0.2500, 0.4568, 0.9135], [0.7500, 0.5432, 0.0865], [0.2500, 0.1962, 0.3924], [0.7500, 0.8038, 0.6076]]}

=====

4.
{"formula": "BaCa2ReTc", "functional": "PBE-GGA", "state": "relaxed", "n_ef_per_ev_fu": 7.980, "vol_a3_per_cell": 151.6, "spacegroup": "P4/mmm, No. 123", "e_form_ev_per_atom": 0.679, "cell": [[-3.5727, -3.5760, 2.4988], [3.6871, -2.4173, 1.8123], [-0.0924, 3.2911, 4.5778]], "species": ["Re", "Ca", "Ca", "Ba", "Tc"], "fractional_positions": [[0.0000, 0.5000, 0.0000], [0.0000, 0.0000, 0.5000], [0.5000, 0.0000, 0.0000], [0.5000, 0.5000, 0.5000], [0.0000, 0.0000, 0.0000]]}

=====

5.
{"formula": "MgGeIrS2", "functional": "PBE-GGA", "state": "relaxed", "n_ef_per_ev_fu": 6.166, "vol_a3_per_cell": 107.7, "spacegroup": "P4/mmm, No. 123", "formation_energy_uncorrected_ev_per_atom": 1.1553, "cell": [[-4.5821, 0.3760, 0.9391], [-0.9103, -3.8274, -2.9090], [0.5111, -2.8990, 3.6542]], "species": ["Mg", "Ge", "Ir", "S", "S"], "fractional_positions": [[0.0000, 0.5000, 0.0000], [0.0000, 0.0000, 0.0000], [0.5000, 0.5000, 0.5000], [0.0000, 0.0000, 0.5000], [0.5000, 0.0000, 0.0000]]}

=====

6.
{"formula": "MgRe", "functional": "PBE-GGA", "state": "relaxed", "n_ef_per_ev_fu": 0.546, "e_above_lowest_polymorph_mev_per_atom": 103, "vol_a3_per_cell": 260.4, "spacegroup": "Pnma, No. 62", "e_form_ev_per_atom": 0.170, "cell": [[-5.8766, -4.8851, 5.0265], [3.3762, -2.2042, 1.8049], [0.3608, 4.3978, 4.6959]], "species": ["Mg", "Mg", "Mg", "Mg", "Mg", "Mg", "Mg", "Mg", "Re", "Re", "Re", "Re", "Re", "Re", "Re", "Re"], "fractional_positions": [[0.1230, 0.2500, 0.9886], [0.6230, 0.2500, 0.5114], [0.8770, 0.7500, 0.0114], [0.3770, 0.7500, 0.4886], [0.8719, 0.2500, 0.7540], [0.3719, 0.2500, 0.7460], [0.1281, 0.7500, 0.2460], [0.6281, 0.7500, 0.2540], [0.1276, 0.2500, 0.5020], [0.6276, 0.2500, 0.9980], [0.8724, 0.7500, 0.4980], [0.3724, 0.7500, 0.0020], [0.8793, 0.2500, 0.2946], [0.3793, 0.2500, 0.2054], [0.1207, 0.7500, 0.7054], [0.6207, 0.7500, 0.7946]]}

=====

7.
{"formula": "SmY2Cu3", "functional": "PBE-GGA", "state": "relaxed", "n_ef_per_ev_fu": 2.909, "vol_a3_per_cell": 128.8, "spacegroup": "P4/mmm, No. 123", "e_form_ev_per_atom": -0.224, "cell": [[3.4927, 0.0000, 0.0000], [0.0000, 3.4927, 0.0000], [0.0000, 0.0000, 10.5606]], "species": ["Sm", "Y", "Y", "Cu", "Cu", "Cu"], "fractional_positions": [[0.5000, 0.5000, 0.5000], [0.5000, 0.5000, 0.8354], [0.5000, 0.5000, 0.1646], [0.0000, 0.0000, 0.0000], [0.0000, 0.0000, 0.6731], [0.0000, 0.0000, 0.3269]]}

=====

8.
{"formula": "Sm4Er3Tm2", "functional": "PBE-GGA", "state": "relaxed", "n_ef_per_ev_fu": 11.620, "e_above_lowest_polymorph_mev_per_atom": 0, "vol_a3_per_cell": 572.0, "spacegroup": "C2/c, No. 15", "e_form_ev_per_atom": 0.050, "cell": [[7.0054, 0.0215, 0.0154], [-0.0347, 9.6579, 0.9363], [-0.0347, 3.9982, 8.8411]], "species": ["Sm", "Sm", "Sm", "Sm", "Sm", "Sm", "Sm", "Sm", "Er", "Er", "Er", "Er", "Er", "Er", "Tm", "Tm", "Tm", "Tm"], "fractional_positions": [[0.4997, 0.8197, 0.1502], [0.0003, 0.8498, 0.1803], [0.5003, 0.1803, 0.8498], [0.9997, 0.1502, 0.8197], [0.0003, 0.1789, 0.4747], [0.4997, 0.5253, 0.8211], [0.9997, 0.8211, 0.5253], [0.5003, 0.4747, 0.1789], [0.7501, 0.1699, 0.1705], [0.7499, 0.8295, 0.8301], [0.2499, 0.8301, 0.8295], [0.2501, 0.1705, 0.1699], [0.2500, 0.4997, 0.5003], [0.7500, 0.5003, 0.4997], [0.5005, 0.1522, 0.5269], [0.9995, 0.4731, 0.8478], [0.4995, 0.8478, 0.4731], [0.0005, 0.5269, 0.1522]]}

=====

9.
{"formula": "Pr4NdAg", "functional": "PBE-GGA", "state": "relaxed", "n_ef_per_ev_fu": 7.785, "e_above_lowest_polymorph_mev_per_atom": 99, "vol_a3_per_cell": 406.1, "spacegroup": "Cmc2_1, No. 36", "e_form_ev_per_atom": 0.035, "cell": [[5.5619, 0.0000, 0.0000], [0.0000, 6.6570, 0.0000], [-2.7810, 0.0000, 10.9675]], "species": ["Pr", "Pr", "Pr", "Pr", "Pr", "Pr", "Pr", "Pr", "Nd", "Nd", "Ag", "Ag"], "fractional_positions": [[0.9344, 0.2063, 0.8688], [0.0656, 0.7063, 0.1312], [0.4736, 0.8603, 0.9472], [0.5264, 0.3603, 0.0528], [0.6646, 0.5582, 0.3293], [0.3354, 0.0582, 0.6707], [0.7492, 0.1120, 0.4984], [0.2508, 0.6120, 0.5016], [0.8670, 0.7104, 0.7339], [0.1330, 0.2104, 0.2661], [0.6119, 0.9863, 0.2237], [0.3881, 0.4863, 0.7763]]}

=====

10.
{"formula": "NaBeSbSe3", "functional": "PBE-GGA", "state": "relaxed", "vol_a3_per_cell": 315.0, "spacegroup": "P2_1/m, No. 11", "formation_energy_uncorrected_ev_per_atom": -0.6432, "cell": [[-1.7046, 0.6271, -3.4604], [-8.0191, -2.4954, 3.4981], [-0.3996, 8.7758, 1.7871]], "species": ["Na", "Na", "Be", "Be", "Sb", "Sb", "Se", "Se", "Se", "Se", "Se", "Se"], "fractional_positions": [[0.2500, 0.1598, 0.2076], [0.7500, 0.8402, 0.7924], [0.2500, 0.0788, 0.5860], [0.7500, 0.9212, 0.4140], [0.2500, 0.6485, 0.1548], [0.7500, 0.3515, 0.8452], [0.7500, 0.8719, 0.1584], [0.2500, 0.1281, 0.8416], [0.2500, 0.8307, 0.5112], [0.7500, 0.1693, 0.4888], [0.7500, 0.3993, 0.1414], [0.2500, 0.6007, 0.8586]]}

=====

11.
{"formula": "TcAsBr2", "functional": "PBE-GGA", "state": "relaxed", "n_ef_per_ev_fu": 2.471, "e_above_lowest_polymorph_mev_per_atom": 796, "vol_a3_per_cell": 93.8, "spacegroup": "C2/m, No. 12", "formation_energy_uncorrected_ev_per_atom": 0.7647, "cell": [[-0.8696, -4.4525, -0.9166], [4.5812, 1.8952, -2.3341], [3.7897, -1.3640, 2.0970]], "species": ["As", "Tc", "Br", "Br"], "fractional_positions": [[0.5000, 0.5000, 0.0000], [0.0000, 0.5000, 0.5000], [0.0000, 0.0000, 0.0000], [0.5000, 0.0000, 0.5000]]}

=====

12.
{"formula": "TeP2Cl", "functional": "PBE-GGA", "state": "relaxed", "n_ef_per_ev_fu": 1.652, "e_above_lowest_polymorph_mev_per_atom": 0, "vol_a3_per_cell": 120.4, "spacegroup": "Pm, No. 6", "formation_energy_uncorrected_ev_per_atom": -0.0973, "cell": [[-1.7136, -2.6710, 0.7267], [2.5213, -2.9922, -5.0525], [6.7091, -4.6886, -1.4126]], "species": ["Cl", "P", "P", "Te"], "fractional_positions": [[0.5000, 0.6708, 0.8565], [0.0000, 0.0777, 0.0492], [0.5000, 0.2062, 0.1541], [0.0000, 0.5453, 0.4403]]}